TiMoN2 | meta-GGA SCAN | single point on PBEsol structure

Geometry as POSCAR:
```
TiMoN2
1.0
4.5664 0.0000 0.0000
0.0000 4.5664 0.0000
-2.2832 -2.2832 4.5965
Mo N Ti
2 4 2
Cartesian
0.0000 2.2832 2.2983
0.0000 0.0000 0.0000
1.1443 3.4248 1.1491
3.4222 1.1416 1.1491
-1.1416 -1.1390 3.4474
1.1416 1.1390 3.4474
2.2832 0.0000 2.2983
2.2832 2.2832 0.0000
```

## Properties
E = -73.0 eV per formula unit
Symmetry = I-42d
Total magnetization = 2.14 Bohr magnetons per cell
Crystal system = tetragonal
Uncorrected formation energy = -0.879 eV per atom